No. 1
A relaxed structure of NaPrInHg, computed with PBE.

Summary:
The calculation puts the magnetic moment at 0.0000 μB/atom. The value obtained for the total energy is -42.0 eV/cell. For the formation energy, the calculation gives -1.4 eV per formula unit. For the density of states at the Fermi level, the calculation gives 9.8 states/eV/cell. As for the density: 7.3 Mg/m³.

abc: 7.575 7.575 7.575
angles: 90.00 90.00 90.00
Space group F-43m (No. 216)
Inequivalent atoms, fractional coordinates:
1 Na 0.000 0.000 0.000 [4 per cell]
2 Pr 0.000 0.000 0.500 [4 per cell]
3 In 0.250 0.250 0.250 [4 per cell]
4 Hg 0.250 0.250 0.750 [4 per cell]

No. 2
A relaxed structure of Sm6Bi5Br, computed with PBE.

Summary:
The calculation puts the magnetic moment at 0.0000 μB/atom. The value obtained for the total energy is -122.0 eV/cell. For the density of states at the Fermi level, the calculation gives 6.0 states/eV/cell. As for the density: 8.5 Mg/m³.

abc: 7.852 13.601 7.839
angles: 90.00 109.44 90.00
Space group C2/m (No. 12)
Inequivalent atoms, fractional coordinates:
1 Sm 0.243 0.000 0.255 [4 per cell]
2 Sm 0.244 0.171 0.746 [8 per cell]
3 Bi 0.000 0.000 0.500 [2 per cell]
4 Bi 0.000 0.167 0.000 [4 per cell]
5 Bi 0.000 0.336 0.500 [4 per cell]
6 Br 0.000 0.500 0.000 [2 per cell]

No. 3
A relaxed structure of Ac2DySb, computed with PBE.

Summary:
The calculation puts the magnetic moment at 0.0000 μB/atom. The value obtained for the total energy is -18.6 eV/cell. Its energy above the most stable polymorph in this dataset is 0.0 meV/atom. For the density of states at the Fermi level, the calculation gives 3.8 states/eV/cell. As for the density: 9.1 Mg/m³.

abc: 5.194 5.194 5.016
angles: 90.00 90.00 90.00
Space group P4/mmm (No. 123)
Inequivalent atoms, fractional coordinates:
1 Ac 0.000 0.500 0.000 [2 per cell]
2 Dy 0.000 0.000 0.500 [1 per cell]
3 Sb 0.500 0.500 0.500 [1 per cell]

No. 4
A relaxed structure of PIr3Rh, computed with PBE.

Summary:
The calculation puts the magnetic moment at 0.0008 μB/atom. The value obtained for the total energy is -28.3 eV/cell. For the formation energy, the calculation gives 11.0 eV per formula unit. Its energy above the most stable polymorph in this dataset is 1450.1 meV/atom. For the density of states at the Fermi level, the calculation gives 10.8 states/eV/cell. As for the density: 11.4 Mg/m³.

abc: 4.695 4.695 4.695
angles: 90.00 90.00 90.00
Space group Pm-3m (No. 221)
Inequivalent atoms, fractional coordinates:
1 P 0.000 0.000 0.000 [1 per cell]
2 Ir 0.000 0.500 0.500 [3 per cell]
3 Rh 0.500 0.500 0.500 [1 per cell]

No. 5
A relaxed structure of LaNb2TeC, computed with PBE.

Summary:
The calculation puts the magnetic moment at 0.0000 μB/atom. The value obtained for the total energy is -38.0 eV/cell. For the density of states at the Fermi level, the calculation gives 6.3 states/eV/cell. As for the density: 7.5 Mg/m³.

abc: 4.396 4.396 5.326
angles: 90.00 90.00 90.00
Space group P4/mmm (No. 123)
Inequivalent atoms, fractional coordinates:
1 La 0.000 0.000 0.000 [1 per cell]
2 Nb 0.000 0.500 0.500 [2 per cell]
3 Te 0.500 0.500 0.000 [1 per cell]
4 C 0.000 0.000 0.500 [1 per cell]

No. 6
A relaxed structure of NaPd2SeO, computed with PBE.

Summary:
The calculation puts the magnetic moment at 0.0000 μB/atom. The value obtained for the total energy is -18.2 eV/cell. For the density of states at the Fermi level, the calculation gives 9.4 states/eV/cell. As for the density: 4.6 Mg/m³.

abc: 4.649 4.649 5.520
angles: 90.00 90.00 90.00
Space group P4/mmm (No. 123)
Inequivalent atoms, fractional coordinates:
1 Na 0.000 0.000 0.000 [1 per cell]
2 Pd 0.000 0.500 0.500 [2 per cell]
3 Se 0.000 0.000 0.500 [1 per cell]
4 O 0.500 0.500 0.000 [1 per cell]

No. 7
A relaxed structure of GePd2Pt2, computed with PBE.

Summary:
The calculation puts the magnetic moment at 0.0000 μB/atom. The value obtained for the total energy is -55.4 eV/cell. For the formation energy, the calculation gives -0.6 eV per formula unit. Its energy above the most stable polymorph in this dataset is 44.7 meV/atom. For the density of states at the Fermi level, the calculation gives 6.4 states/eV/cell. As for the density: 13.3 Mg/m³.

abc: 6.390 6.390 4.119
angles: 90.00 90.00 90.00
Space group P4/mbm (No. 127)
Inequivalent atoms, fractional coordinates:
1 Ge 0.000 0.000 0.000 [2 per cell]
2 Pd 0.159 0.341 0.500 [4 per cell]
3 Pt 0.146 0.646 0.000 [4 per cell]

No. 8
A relaxed structure of Sm3MnSi2Pt9, computed with PBE.

Summary:
The calculation puts the magnetic moment at 0.2842 μB/atom. The value obtained for the total energy is -98.9 eV/cell. For the density of states at the Fermi level, the calculation gives 4.8 states/eV/cell. As for the density: 12.1 Mg/m³.

abc: 6.3330 6.3330 9.1581
angles: 90.00 90.00 120.00
Space group P-3m1 (No. 164)
Inequivalent atoms, fractional coordinates:
1 Sm 0.0000 0.0000 0.0000 [1 per cell]
2 Sm 0.3333 0.6667 0.7169 [2 per cell]
3 Mn 0.0000 0.0000 0.5000 [1 per cell]
4 Si 0.3333 0.6667 0.1779 [2 per cell]
5 Pt 0.0000 0.5000 0.0000 [3 per cell]
6 Pt 0.1432 0.2863 0.2765 [6 per cell]

What did the first record say?
A relaxed structure of NaPrInHg, computed with PBE.

Summary:
The calculation puts the magnetic moment at 0.0000 μB/atom. The value obtained for the total energy is -42.0 eV/cell. For the formation energy, the calculation gives -1.4 eV per formula unit. For the density of states at the Fermi level, the calculation gives 9.8 states/eV/cell. As for the density: 7.3 Mg/m³.

abc: 7.575 7.575 7.575
angles: 90.00 90.00 90.00
Space group F-43m (No. 216)
Inequivalent atoms, fractional coordinates:
1 Na 0.000 0.000 0.000 [4 per cell]
2 Pr 0.000 0.000 0.500 [4 per cell]
3 In 0.250 0.250 0.250 [4 per cell]
4 Hg 0.250 0.250 0.750 [4 per cell]

Among the records above, which one has the lowest total energy? Sm6Bi5Br